# 1
This record from the Open Quantum Materials Database describes crystalline Zr2CdBi at its relaxed geometry. The functional is PBE.

Cell: 5.173 5.173 5.173 Å, 60.00 60.00 60.00°
Fractional positions:
Zr: 0.000 0.000 0.000
Zr: 0.250 0.250 0.250
Cd: 0.750 0.750 0.750
Bi: 0.500 0.500 0.500

Calculated values
Calculated total energy   -5.232 eV/atom
SG   F-43m (216)



# 2
This record from the Open Quantum Materials Database describes crystalline ZrCd2Bi at its relaxed geometry. The functional is PBE.

Cell: 5.156 5.156 5.156 Å, 60.00 60.00 60.00°
Fractional positions:
Zr: 0.000 0.000 0.000
Cd: 0.250 0.250 0.250
Cd: 0.500 0.500 0.500
Bi: 0.750 0.750 0.750

Calculated values
Calculated total energy   -3.434 eV/atom
SG   F-43m (216)



# 3
This record from the Open Quantum Materials Database describes crystalline ZrCdBi at its relaxed geometry. The functional is PBE.

Cell: 4.975 4.975 4.975 Å, 60.00 60.00 60.00°
Fractional positions:
Zr: 0.000 0.000 0.000
Cd: 0.500 0.500 0.500
Bi: 0.750 0.750 0.750

Calculated values
Calculated total energy   -4.075 eV/atom
SG   F-43m (216)



# 4
This record from the Open Quantum Materials Database describes crystalline Cs2ZnBiCl6 at its relaxed geometry. The functional is PBE.

Cell: 4.865 4.865 14.745 Å, 90.00 90.00 90.00°
Fractional positions:
Cs: 0.000 0.000 0.223
Cs: 0.000 0.000 0.777
Zn: 0.500 0.500 0.000
Bi: 0.500 0.500 0.500
Cl: 0.000 0.000 0.000
Cl: 0.000 0.000 0.500
Cl: 0.000 0.500 0.374
Cl: 0.000 0.500 0.626
Cl: 0.500 0.000 0.374
Cl: 0.500 0.000 0.626

Calculated values
Calculated total energy   -2.580 eV/atom
SG   P4/mmm (123)



- What is the calculated total energy in the first record?
  -5.232 eV/atom